Entry from the Alexandria database: crystalline Sb3MoP at its relaxed geometry (PBE).

Output
- E_form (uncorrected) (kJ per mole of atoms) = 106.58
- size of the total moment (μB/f.u.) = 2.99

abc: 5.091 5.091 5.091
angles: 90.00 90.00 90.00
Site moments in Bohr magnetons follow the coordinates.
Atoms (fractional coordinates):
1 Sb 0.000 0.000 0.500  -0.10
2 Sb 0.500 0.000 0.000  -0.05
3 Sb 0.000 0.500 0.000  -0.10
4 P 0.000 0.000 0.000  -0.08
5 Mo 0.500 0.500 0.500  3.01